{"formula": "LiZrPt", "functional": "GGA-PBE", "state": "relaxed", "lattice": [[0.0000, 3.1196, 3.1196], [3.1196, 0.0000, 3.1196], [3.1196, 3.1196, 0.0000]], "species": ["Li", "Zr", "Pt"], "fractional_positions": [[0.0000, 0.0000, 0.0000], [0.5000, 0.5000, 0.5000], [0.2500, 0.2500, 0.2500]], "vol_a3_per_atom": 20.2, "relative_energy_ev_per_fu": 0.00, "rho_g_cm3": 8.02}

***

{"formula": "LiZrPt2", "functional": "GGA-PBE", "state": "relaxed", "lattice": [[4.4875, 0.0000, 0.0000], [-2.2438, 3.8863, 0.0000], [0.0000, 0.0000, 8.4227]], "species": ["Li", "Li", "Zr", "Zr", "Pt", "Pt", "Pt", "Pt"], "fractional_positions": [[0.3333, 0.6667, 0.2500], [0.6667, 0.3333, 0.7500], [0.0000, 0.0000, 0.0000], [0.0000, 0.0000, 0.5000], [0.3333, 0.6667, 0.5949], [0.3333, 0.6667, 0.9051], [0.6667, 0.3333, 0.0949], [0.6667, 0.3333, 0.4051]], "vol_a3_per_atom": 18.4, "relative_energy_ev_per_fu": 0.86, "rho_g_cm3": 11.04}

***

{"formula": "LiZrPt2", "functional": "GGA-PBE", "state": "relaxed", "lattice": [[4.7219, 0.0000, 0.0000], [0.0000, 14.1648, 0.0000], [0.0000, 0.0000, 5.9126]], "species": ["Li", "Li", "Li", "Li", "Li", "Li", "Zr", "Zr", "Zr", "Zr", "Zr", "Zr", "Pt", "Pt", "Pt", "Pt", "Pt", "Pt", "Pt", "Pt", "Pt", "Pt", "Pt", "Pt"], "fractional_positions": [[0.0000, 0.0000, 0.0000], [0.0025, 0.3333, 0.0000], [0.4975, 0.8333, 0.5000], [0.5000, 0.5000, 0.5000], [0.5025, 0.1667, 0.5000], [0.9975, 0.6667, 0.0000], [0.0000, 0.0000, 0.5000], [0.0008, 0.3333, 0.5000], [0.4992, 0.8333, 0.0000], [0.5000, 0.5000, 0.0000], [0.5008, 0.1667, 0.0000], [0.9992, 0.6667, 0.5000], [0.0000, 0.5000, 0.2500], [0.0000, 0.5000, 0.7500], [0.0008, 0.1667, 0.2500], [0.0008, 0.1667, 0.7500], [0.4992, 0.6667, 0.2500], [0.4992, 0.6667, 0.7500], [0.5000, 0.0000, 0.2500], [0.5000, 0.0000, 0.7500], [0.5008, 0.3333, 0.2500], [0.5008, 0.3333, 0.7500], [0.9992, 0.8333, 0.2500], [0.9992, 0.8333, 0.7500]], "vol_a3_per_atom": 16.5, "relative_energy_ev_per_fu": 0.01, "rho_g_cm3": 12.30}

***

{"formula": "LiZrPt2", "functional": "GGA-PBE", "state": "relaxed", "lattice": [[4.2553, 0.0000, 0.0000], [-2.1277, 3.6852, 0.0000], [0.0000, 0.0000, 8.6413]], "species": ["Li", "Li", "Zr", "Zr", "Pt", "Pt", "Pt", "Pt"], "fractional_positions": [[0.0000, 0.0000, 0.0000], [0.0000, 0.0000, 0.5000], [0.3333, 0.6667, 0.2500], [0.6667, 0.3333, 0.7500], [0.3333, 0.6667, 0.5907], [0.3333, 0.6667, 0.9093], [0.6667, 0.3333, 0.0907], [0.6667, 0.3333, 0.4093]], "vol_a3_per_atom": 16.9, "relative_energy_ev_per_fu": 0.02, "rho_g_cm3": 11.97}

***

{"formula": "LiZrPt2", "functional": "GGA-PBE", "state": "relaxed", "lattice": [[2.9168, -3.2643, 0.0000], [2.9168, 3.2643, 0.0000], [0.0000, 0.0000, 3.4722]], "species": ["Li", "Zr", "Pt", "Pt"], "fractional_positions": [[0.0000, 0.0000, 0.0000], [0.5000, 0.5000, 0.0000], [0.0000, 0.5000, 0.5000], [0.5000, 0.0000, 0.5000]], "vol_a3_per_atom": 16.5, "relative_energy_ev_per_fu": 0.32, "rho_g_cm3": 12.26}

***

{"formula": "RbLiPuS3", "functional": "GGA-PBE", "state": "relaxed", "lattice": [[2.0400, -7.1342, 0.0000], [2.0400, 7.1342, 0.0000], [0.0000, 0.0000, 10.3929]], "species": ["Rb", "Rb", "Li", "Li", "Pu", "Pu", "S", "S", "S", "S", "S", "S"], "fractional_positions": [[0.2385, 0.7615, 0.7500], [0.7615, 0.2385, 0.2500], [0.0368, 0.9632, 0.2500], [0.9632, 0.0368, 0.7500], [0.5000, 0.5000, 0.0000], [0.5000, 0.5000, 0.5000], [0.1172, 0.8828, 0.0493], [0.1172, 0.8828, 0.4507], [0.4489, 0.5511, 0.2500], [0.5511, 0.4489, 0.7500], [0.8828, 0.1172, 0.5493], [0.8828, 0.1172, 0.9507]], "vol_a3_per_atom": 25.2, "final_energy_ev_per_atom": -6.356, "rho_g_cm3": 4.75}

***

{"formula": "RbLiPuSe3", "functional": "GGA-PBE", "state": "relaxed", "lattice": [[2.1314, -7.4185, 0.0000], [2.1314, 7.4185, 0.0000], [0.0000, 0.0000, 10.8578]], "species": ["Rb", "Rb", "Li", "Li", "Pu", "Pu", "Se", "Se", "Se", "Se", "Se", "Se"], "fractional_positions": [[0.2411, 0.7589, 0.7500], [0.7589, 0.2411, 0.2500], [0.0354, 0.9646, 0.2500], [0.9646, 0.0354, 0.7500], [0.5000, 0.5000, 0.0000], [0.5000, 0.5000, 0.5000], [0.1207, 0.8793, 0.0489], [0.1207, 0.8793, 0.4511], [0.4448, 0.5552, 0.2500], [0.5552, 0.4448, 0.7500], [0.8793, 0.1207, 0.5489], [0.8793, 0.1207, 0.9511]], "vol_a3_per_atom": 28.6, "final_energy_ev_per_atom": -5.920, "rho_g_cm3": 5.54}

***

{"formula": "RbLiPuTe3", "functional": "GGA-PBE", "state": "relaxed", "lattice": [[2.2853, -7.8807, 0.0000], [2.2853, 7.8807, 0.0000], [0.0000, 0.0000, 11.6389]], "species": ["Rb", "Rb", "Li", "Li", "Pu", "Pu", "Te", "Te", "Te", "Te", "Te", "Te"], "fractional_positions": [[0.2446, 0.7554, 0.7500], [0.7554, 0.2446, 0.2500], [0.0357, 0.9643, 0.2500], [0.9643, 0.0357, 0.7500], [0.5000, 0.5000, 0.0000], [0.5000, 0.5000, 0.5000], [0.1254, 0.8746, 0.0481], [0.1254, 0.8746, 0.4519], [0.4401, 0.5599, 0.2500], [0.5599, 0.4401, 0.7500], [0.8746, 0.1254, 0.5481], [0.8746, 0.1254, 0.9519]], "vol_a3_per_atom": 34.9, "final_energy_ev_per_atom": -5.414, "rho_g_cm3": 5.70}

***

{"formula": "LiPuSb", "functional": "GGA-PBE", "state": "relaxed", "lattice": [[0.0000, 3.5395, 3.5395], [3.5395, 0.0000, 3.5395], [3.5395, 3.5395, 0.0000]], "species": ["Li", "Pu", "Sb"], "fractional_positions": [[0.0000, 0.0000, 0.0000], [0.2500, 0.2500, 0.2500], [0.5000, 0.5000, 0.5000]], "vol_a3_per_atom": 29.6, "relative_energy_ev_per_fu": 1.74, "rho_g_cm3": 6.98}

***

{"formula": "LiPuSb", "functional": "GGA-PBE", "state": "relaxed", "lattice": [[4.7794, 0.0000, 0.0000], [-2.3897, 4.1391, 0.0000], [0.0000, 0.0000, 6.9848]], "species": ["Li", "Li", "Pu", "Pu", "Sb", "Sb"], "fractional_positions": [[0.3333, 0.6667, 0.2500], [0.6667, 0.3333, 0.7500], [0.0000, 0.0000, 0.0000], [0.0000, 0.0000, 0.5000], [0.3333, 0.6667, 0.7500], [0.6667, 0.3333, 0.2500]], "vol_a3_per_atom": 23.0, "relative_energy_ev_per_fu": 0.00, "rho_g_cm3": 8.96}

***

{"formula": "LiPuSc", "functional": "GGA-PBE", "state": "relaxed", "lattice": [[0.0000, 3.3904, 3.3904], [3.3904, 0.0000, 3.3904], [3.3904, 3.3904, 0.0000]], "species": ["Li", "Pu", "Sc"], "fractional_positions": [[0.0000, 0.0000, 0.0000], [0.2500, 0.2500, 0.2500], [0.7500, 0.7500, 0.7500]], "vol_a3_per_atom": 26.0, "relative_energy_ev_per_fu": 0.00, "rho_g_cm3": 6.30}

***

{"formula": "LiPuTlSe3", "functional": "GGA-PBE", "state": "relaxed", "lattice": [[2.1134, -7.0201, 0.0000], [2.1134, 7.0201, 0.0000], [0.0000, 0.0000, 10.8971]], "species": ["Li", "Li", "Pu", "Pu", "Tl", "Tl", "Se", "Se", "Se", "Se", "Se", "Se"], "fractional_positions": [[0.0385, 0.9615, 0.7500], [0.9615, 0.0385, 0.2500], [0.5000, 0.5000, 0.0000], [0.5000, 0.5000, 0.5000], [0.2392, 0.7608, 0.2500], [0.7608, 0.2392, 0.7500], [0.1279, 0.8721, 0.5493], [0.1279, 0.8721, 0.9507], [0.4393, 0.5607, 0.7500], [0.5607, 0.4393, 0.2500], [0.8721, 0.1279, 0.0493], [0.8721, 0.1279, 0.4507]], "vol_a3_per_atom": 26.9, "final_energy_ev_per_atom": -5.888, "rho_g_cm3": 7.11}